Entry 1:
# Ho2BiSbO8, optimized geometry, DFT PBE-GGA
# Space group: No. 65
# Total moment, μB per cell: 0.000
# Formation energy from raw total energies, eV/atom: -2.158
# Density, g/cm3: 7.69
data_Ho2BiSbO8
_chemical_formula_sum 'Ho2 Bi1 Sb1 O8'
_symmetry_space_group_name_H-M 'P 1'
_symmetry_Int_Tables_number 1
_symmetry_space_group_name_Hall 'P 1'
_cell_length_a 5.038
_cell_length_b 5.038
_cell_length_c 6.713
_cell_angle_alpha 90.00
_cell_angle_beta 90.00
_cell_angle_gamma 92.55
loop_
_atom_site_label
_atom_site_fract_x
_atom_site_fract_y
_atom_site_fract_z
Ho1 0.000 0.000 0.244
Ho2 0.000 0.000 0.756
Bi1 0.500 0.500 0.500
Sb1 0.500 0.500 0.000
O1 0.201 0.201 0.500
O2 0.216 0.216 0.000
O3 0.316 0.684 0.236
O4 0.316 0.684 0.764
O5 0.684 0.316 0.236
O6 0.684 0.316 0.764
O7 0.784 0.784 0.000
O8 0.799 0.799 0.500


Entry 2:
# MnNbCr2C, optimized geometry, DFT PBE-GGA
# Space group: No. 123
# Total moment, μB per cell: 2.629
# Density, g/cm3: 7.38
# Formation energy from the elements, eV per atom: -0.01
data_MnNbCr2C
_chemical_formula_sum 'Mn1 Nb1 Cr2 C1'
_symmetry_space_group_name_H-M 'P 1'
_symmetry_Int_Tables_number 1
_symmetry_space_group_name_Hall 'P 1'
_cell_length_a 3.943
_cell_length_b 3.943
_cell_length_c 3.819
_cell_angle_alpha 90.00
_cell_angle_beta 90.00
_cell_angle_gamma 90.00
loop_
_atom_site_label
_atom_site_fract_x
_atom_site_fract_y
_atom_site_fract_z
Mn1 0.000 0.000 0.000
Nb1 0.500 0.500 0.000
Cr1 0.000 0.500 0.500
Cr2 0.500 0.000 0.500
C1 0.000 0.000 0.500


Entry 3:
# PtPbW2, optimized geometry, DFT PBE-GGA
# Space group: No. 25
# Total moment, μB per cell: 0.000
# Density, g/cm3: 17.14
# Formation energy from the elements, eV per atom: 0.45
data_PtPbW2
_chemical_formula_sum 'Pt1 Pb1 W2'
_symmetry_space_group_name_H-M 'P 1'
_symmetry_Int_Tables_number 1
_symmetry_space_group_name_Hall 'P 1'
_cell_length_a 2.826
_cell_length_b 3.151
_cell_length_c 8.378
_cell_angle_alpha 90.00
_cell_angle_beta 90.00
_cell_angle_gamma 90.00
loop_
_atom_site_label
_atom_site_fract_x
_atom_site_fract_y
_atom_site_fract_z
Pt1 0.000 0.000 0.000
Pb1 0.500 0.500 0.713
W1 0.000 0.000 0.433
W2 0.500 0.500 0.211


Entry 4:
# Tb2TiNi3Ge4, optimized geometry, DFT PBE-GGA
# Space group: No. 115
# Total moment, μB per cell: 0.000
# Density, g/cm3: 8.11
# Formation energy from the elements, eV per atom: -0.69
data_Tb2TiNi3Ge4
_chemical_formula_sum 'Tb2 Ti1 Ni3 Ge4'
_symmetry_space_group_name_H-M 'P 1'
_symmetry_Int_Tables_number 1
_symmetry_space_group_name_Hall 'P 1'
_cell_length_a 4.050
_cell_length_b 4.050
_cell_length_c 10.384
_cell_angle_alpha 90.00
_cell_angle_beta 90.00
_cell_angle_gamma 90.00
loop_
_atom_site_label
_atom_site_fract_x
_atom_site_fract_y
_atom_site_fract_z
Tb1 0.000 0.500 0.236
Tb2 0.500 0.000 0.764
Ti1 0.000 0.000 0.500
Ni1 0.000 0.500 0.878
Ni2 0.500 0.000 0.122
Ni3 0.500 0.500 0.500
Ge1 0.000 0.000 0.000
Ge2 0.000 0.500 0.649
Ge3 0.500 0.000 0.351
Ge4 0.500 0.500 0.000


Entry 5:
# Ba3Zn2Ge3, optimized geometry, DFT PBE-GGA
# Offset from the most stable computed form, meV per atom: 0
# Space group: No. 63
# Total moment, μB per cell: 0.000
# Density, g/cm3: 5.32
# Formation energy from the elements, eV per atom: -0.45
data_Ba3Zn2Ge3
_chemical_formula_sum 'Ba6 Zn4 Ge6'
_symmetry_space_group_name_H-M 'P 1'
_symmetry_Int_Tables_number 1
_symmetry_space_group_name_Hall 'P 1'
_cell_length_a 6.553
_cell_length_b 6.553
_cell_length_c 16.877
_cell_angle_alpha 90.00
_cell_angle_beta 90.00
_cell_angle_gamma 139.08
loop_
_atom_site_label
_atom_site_fract_x
_atom_site_fract_y
_atom_site_fract_z
Ba1 0.038 0.962 0.750
Ba2 0.344 0.656 0.596
Ba3 0.344 0.656 0.904
Ba4 0.656 0.344 0.096
Ba5 0.656 0.344 0.404
Ba6 0.962 0.038 0.250
Zn1 0.371 0.629 0.118
Zn2 0.371 0.629 0.382
Zn3 0.629 0.371 0.618
Zn4 0.629 0.371 0.882
Ge1 0.074 0.926 0.553
Ge2 0.074 0.926 0.947
Ge3 0.252 0.748 0.250
Ge4 0.748 0.252 0.750
Ge5 0.926 0.074 0.053
Ge6 0.926 0.074 0.447


Entry 6:
# LiDyTm2Cd4, optimized geometry, DFT PBE-GGA
# Space group: No. 166
# Total moment, μB per cell: 0.000
# Density, g/cm3: 8.16
# Formation energy from the elements, eV per atom: -0.27
data_LiDyTm2Cd4
_chemical_formula_sum 'Li1 Dy1 Tm2 Cd4'
_symmetry_space_group_name_H-M 'P 1'
_symmetry_Int_Tables_number 1
_symmetry_space_group_name_Hall 'P 1'
_cell_length_a 8.972
_cell_length_b 8.972
_cell_length_c 8.972
_cell_angle_alpha 33.39
_cell_angle_beta 33.39
_cell_angle_gamma 33.39
loop_
_atom_site_label
_atom_site_fract_x
_atom_site_fract_y
_atom_site_fract_z
Li1 0.000 0.000 0.000
Dy1 0.500 0.500 0.500
Tm1 0.251 0.251 0.251
Tm2 0.749 0.749 0.749
Cd1 0.120 0.120 0.120
Cd2 0.373 0.373 0.373
Cd3 0.627 0.627 0.627
Cd4 0.880 0.880 0.880


Entry 7:
# TaOs2W2, optimized geometry, DFT PBE-GGA
# Space group: No. 127
# Total moment, μB per cell: 0.000
# Density, g/cm3: 18.78
# Formation energy from the elements, eV per atom: 0.15
data_TaOs2W2
_chemical_formula_sum 'Ta2 Os4 W4'
_symmetry_space_group_name_H-M 'P 1'
_symmetry_Int_Tables_number 1
_symmetry_space_group_name_Hall 'P 1'
_cell_length_a 7.517
_cell_length_b 7.517
_cell_length_c 2.907
_cell_angle_alpha 90.00
_cell_angle_beta 90.00
_cell_angle_gamma 90.00
loop_
_atom_site_label
_atom_site_fract_x
_atom_site_fract_y
_atom_site_fract_z
Ta1 0.000 0.000 0.000
Ta2 0.500 0.500 0.000
Os1 0.133 0.367 0.000
Os2 0.367 0.867 0.000
Os3 0.633 0.133 0.000
Os4 0.867 0.633 0.000
W1 0.165 0.665 0.500
W2 0.335 0.165 0.500
W3 0.665 0.835 0.500
W4 0.835 0.335 0.500


Entry 8:
# Hg12Te5Cl3, optimized geometry, DFT PBE-GGA
# Space group: No. 230
# Total moment, μB per cell: 0.000
# Formation energy from raw total energies, eV/atom: -0.029
# Density, g/cm3: 7.68
data_Hg12Te5Cl3
_chemical_formula_sum 'Hg48 Te20 Cl12'
_symmetry_space_group_name_H-M 'P 1'
_symmetry_Int_Tables_number 1
_symmetry_space_group_name_Hall 'P 1'
_cell_length_a 15.241
_cell_length_b 15.241
_cell_length_c 15.241
_cell_angle_alpha 109.47
_cell_angle_beta 109.47
_cell_angle_gamma 109.47
loop_
_atom_site_label
_atom_site_fract_x
_atom_site_fract_y
_atom_site_fract_z
Hg1 0.067 0.230 0.155
Hg2 0.067 0.337 0.912
Hg3 0.075 0.730 0.663
Hg4 0.075 0.845 0.412
Hg5 0.088 0.655 0.425
Hg6 0.088 0.933 0.663
Hg7 0.155 0.067 0.230
Hg8 0.155 0.588 0.925
Hg9 0.163 0.230 0.575
Hg10 0.163 0.433 0.588
Hg11 0.230 0.155 0.067
Hg12 0.230 0.575 0.163
Hg13 0.270 0.337 0.925
Hg14 0.270 0.433 0.345
Hg15 0.337 0.912 0.067
Hg16 0.337 0.925 0.270
Hg17 0.345 0.270 0.433
Hg18 0.345 0.575 0.912
Hg19 0.412 0.075 0.845
Hg20 0.412 0.837 0.567
Hg21 0.425 0.088 0.655
Hg22 0.425 0.837 0.770
Hg23 0.433 0.345 0.270
Hg24 0.433 0.588 0.163
Hg25 0.567 0.412 0.837
Hg26 0.567 0.655 0.730
Hg27 0.575 0.163 0.230
Hg28 0.575 0.912 0.345
Hg29 0.588 0.163 0.433
Hg30 0.588 0.925 0.155
Hg31 0.655 0.425 0.088
Hg32 0.655 0.730 0.567
Hg33 0.663 0.075 0.730
Hg34 0.663 0.088 0.933
Hg35 0.730 0.567 0.655
Hg36 0.730 0.663 0.075
Hg37 0.770 0.425 0.837
Hg38 0.770 0.845 0.933
Hg39 0.837 0.567 0.412
Hg40 0.837 0.770 0.425
Hg41 0.845 0.412 0.075
Hg42 0.845 0.933 0.770
Hg43 0.912 0.067 0.337
Hg44 0.912 0.345 0.575
Hg45 0.925 0.155 0.588
Hg46 0.925 0.270 0.337
Hg47 0.933 0.663 0.088
Hg48 0.933 0.770 0.845
Te1 0.000 0.000 0.000
Te2 0.000 0.000 0.500
Te3 0.000 0.500 0.000
Te4 0.000 0.500 0.500
Te5 0.125 0.750 0.875
Te6 0.125 0.875 0.250
Te7 0.250 0.125 0.875
Te8 0.250 0.625 0.375
Te9 0.375 0.250 0.625
Te10 0.375 0.625 0.750
Te11 0.500 0.000 0.000
Te12 0.500 0.000 0.500
Te13 0.500 0.500 0.000
Te14 0.500 0.500 0.500
Te15 0.625 0.375 0.250
Te16 0.625 0.750 0.375
Te17 0.750 0.375 0.625
Te18 0.750 0.875 0.125
Te19 0.875 0.125 0.750
Te20 0.875 0.250 0.125
Cl1 0.125 0.250 0.375
Cl2 0.125 0.375 0.750
Cl3 0.250 0.375 0.125
Cl4 0.250 0.875 0.625
Cl5 0.375 0.125 0.250
Cl6 0.375 0.750 0.125
Cl7 0.625 0.250 0.875
Cl8 0.625 0.875 0.750
Cl9 0.750 0.125 0.375
Cl10 0.750 0.625 0.875
Cl11 0.875 0.625 0.250
Cl12 0.875 0.750 0.625


Entry 9:
# Pm6GaOs2, optimized geometry, DFT PBE-GGA
# Space group: No. 71
# Total moment, μB per cell: 0.000
# Density, g/cm3: 8.87
# Formation energy from the elements, eV per atom: -0.22
data_Pm6GaOs2
_chemical_formula_sum 'Pm12 Ga2 Os4'
_symmetry_space_group_name_H-M 'P 1'
_symmetry_Int_Tables_number 1
_symmetry_space_group_name_Hall 'P 1'
_cell_length_a 8.640
_cell_length_b 8.640
_cell_length_c 8.640
_cell_angle_alpha 112.06
_cell_angle_beta 111.35
_cell_angle_gamma 105.09
loop_
_atom_site_label
_atom_site_fract_x
_atom_site_fract_y
_atom_site_fract_z
Pm1 0.045 0.244 0.801
Pm2 0.181 0.274 0.455
Pm3 0.181 0.726 0.907
Pm4 0.330 0.018 0.687
Pm5 0.330 0.643 0.313
Pm6 0.442 0.244 0.199
Pm7 0.558 0.756 0.801
Pm8 0.670 0.357 0.687
Pm9 0.670 0.982 0.313
Pm10 0.819 0.274 0.093
Pm11 0.819 0.726 0.545
Pm12 0.955 0.756 0.199
Ga1 0.000 0.000 0.000
Ga2 0.500 0.500 0.000
Os1 0.118 0.618 0.500
Os2 0.325 0.000 0.325
Os3 0.675 0.000 0.675
Os4 0.882 0.382 0.500


Entry 10:
# TaTe2As, optimized geometry, DFT PBE-GGA
# Space group: No. 99
# Total moment, μB per cell: 0.000
# Formation energy from raw total energies, eV/atom: -0.079
# Density, g/cm3: 8.86
data_TaTe2As
_chemical_formula_sum 'Ta1 Te2 As1'
_symmetry_space_group_name_H-M 'P 1'
_symmetry_Int_Tables_number 1
_symmetry_space_group_name_Hall 'P 1'
_cell_length_a 3.489
_cell_length_b 3.489
_cell_length_c 7.873
_cell_angle_alpha 90.00
_cell_angle_beta 90.00
_cell_angle_gamma 90.00
loop_
_atom_site_label
_atom_site_fract_x
_atom_site_fract_y
_atom_site_fract_z
Ta1 0.000 0.000 0.000
Te1 0.000 0.000 0.627
Te2 0.500 0.500 0.223
As1 0.500 0.500 0.849


Entry 11:
# Na2HfUAs4, optimized geometry, DFT PBE-GGA
# Space group: No. 10
# Total moment, μB per cell: 0.143
# Density, g/cm3: 6.46
# Formation energy from the elements, eV per atom: -0.61
data_Na2HfUAs4
_chemical_formula_sum 'Na2 Hf1 U1 As4'
_symmetry_space_group_name_H-M 'P 1'
_symmetry_Int_Tables_number 1
_symmetry_space_group_name_Hall 'P 1'
_cell_length_a 6.896
_cell_length_b 4.079
_cell_length_c 7.347
_cell_angle_alpha 90.00
_cell_angle_beta 108.60
_cell_angle_gamma 90.00
loop_
_atom_site_label
_atom_site_fract_x
_atom_site_fract_y
_atom_site_fract_z
Na1 0.000 0.000 0.000
Na2 0.500 0.500 0.000
Hf1 0.000 0.500 0.500
U1 0.500 0.000 0.500
As1 0.235 0.000 0.710
As2 0.259 0.500 0.287
As3 0.741 0.500 0.713
As4 0.765 0.000 0.290


Entry 12:
# V3TeH, optimized geometry, DFT PBE-GGA
# Space group: No. 221
# Total moment, μB per cell: 11.992
# Density, g/cm3: 3.26
# Final energy, eV/atom: -5.0249
data_V3TeH
_chemical_formula_sum 'V3 Te1 H1'
_symmetry_space_group_name_H-M 'P 1'
_symmetry_Int_Tables_number 1
_symmetry_space_group_name_Hall 'P 1'
_cell_length_a 5.236
_cell_length_b 5.236
_cell_length_c 5.236
_cell_angle_alpha 90.00
_cell_angle_beta 90.00
_cell_angle_gamma 90.00
loop_
_atom_site_label
_atom_site_fract_x
_atom_site_fract_y
_atom_site_fract_z
V1 0.000 0.000 0.500
V2 0.000 0.500 0.000
V3 0.500 0.000 0.000
Te1 0.000 0.000 0.000
H1 0.500 0.500 0.500